The following is a DFT calculation (PBE) of a geometry-optimized HoAl8Ni2 structure. Values from VASP.

Output
energy of formation from the pure elements: 0.023 eV per atom
space group: P4/mmm

```
&SYSTEM
  ibrav = 0, nat = 11, ntyp = 3
/
ATOMIC_SPECIES
Ho 164.93 Ho.upf
Al 26.98 Al.upf
Ni 58.69 Ni.upf
ATOMIC_POSITIONS angstrom
Ho 0.000 0.000 0.000
Al 1.400 1.400 2.424
Al 1.400 1.400 5.245
Al 1.400 4.194 2.424
Al 1.400 4.194 5.245
Al 4.194 1.400 2.424
Al 4.194 1.400 5.245
Al 4.194 4.194 2.424
Al 4.194 4.194 5.245
Ni 0.000 2.797 3.835
Ni 2.797 0.000 3.835
CELL_PARAMETERS angstrom
5.594 0.000 0.000
0.000 5.594 0.000
0.000 0.000 7.669
```